A relaxed structure of TaPIrCl2. Source: the Alexandria database, functional PBE.

```
TaPIrCl2
1.0
-2.9049 3.2763 1.5582
-3.3146 -1.5851 -2.8464
-1.6152 -3.1648 3.6433
Cl P Ta Ir
2 1 1 1
direct
0.5000 0.0000 0.0000
0.0000 0.5000 0.0000
0.0000 0.0000 0.5000
0.0000 0.0000 0.0000
0.5000 0.5000 0.5000
```

Computed properties:
distance to the lowest polymorph of the same formula: 0.000 kcal/mol of atoms
density: 7.2 Mg/m³
formation energy (no corrections): 806 meV/atom